TaTlSi after structural relaxation, computed with GGA-PBE.

Results
Space-group type   No. 216
Formation energy from raw total energies   0.87 eV per atom
Energy above the lowest structure with this stoichiometry   0.599 eV/atom
Energy   -5.6797 eV/atom

Cell: 4.5750 4.5750 4.5750 Å, 60.00 60.00 60.00°
Fractional positions:
Si 0.5000 0.5000 0.5000
Ta 0.2500 0.2500 0.2500
Tl 0.0000 0.0000 0.0000

TaTlSi2 after structural relaxation, computed with GGA-PBE.

Results
Space-group type   No. 10
Formation energy from raw total energies   0.55 eV per atom
Energy above the lowest structure with this stoichiometry   0.402 eV/atom
Energy   -5.7117 eV/atom

Cell: 3.0706 5.4805 5.6714 Å, 49.51 90.00 90.00°
Fractional positions:
Si 0.0000 0.0000 0.0000
Si 0.5000 0.5000 0.0000
Ta 0.5000 0.5000 0.5000
Tl 0.0000 0.0000 0.5000

TaTlSi2 after structural relaxation, computed with GGA-PBE.

Results
Space-group type   No. 65
Formation energy from raw total energies   0.20 eV per atom
Energy above the lowest structure with this stoichiometry   0.051 eV/atom
Energy   -6.0624 eV/atom

Cell: 3.0121 3.0121 8.9135 Å, 90.00 90.00 103.21°
Fractional positions:
Si 0.0000 0.0000 0.0455
Si 0.0000 0.0000 0.4545
Ta 0.5000 0.5000 0.2500
Tl 0.5000 0.5000 0.7500

Ta2TlSi after structural relaxation, computed with GGA-PBE.

Results
Space-group type   No. 122
Formation energy from raw total energies   0.68 eV per atom
Energy   -7.1966 eV/atom

Cell: 3.9990 3.9990 10.3753 Å, 78.89 78.89 90.00°
Fractional positions:
Tl 0.0000 0.0000 0.0000
Tl 0.7500 0.2500 0.5000
Si 0.5000 0.5000 0.0000
Si 0.2500 0.7500 0.5000
Ta 0.6136 0.1250 0.2500
Ta 0.1364 0.6250 0.2500
Ta 0.3750 0.3864 0.7500
Ta 0.8750 0.8636 0.7500

Ta2TlSi after structural relaxation, computed with GGA-PBE.

Results
Space-group type   No. 10
Formation energy from raw total energies   0.41 eV per atom
Energy   -7.4640 eV/atom

Cell: 3.0527 5.1943 5.7633 Å, 54.03 90.00 90.00°
Fractional positions:
Si 0.0000 0.0000 0.5000
Ta 0.0000 0.0000 0.0000
Ta 0.5000 0.5000 0.0000
Tl 0.5000 0.5000 0.5000

TaTlSi2 after structural relaxation, computed with GGA-PBE.

Results
Space-group type   No. 12
Formation energy from raw total energies   0.27 eV per atom
Energy above the lowest structure with this stoichiometry   0.120 eV/atom
Energy   -5.9935 eV/atom

Cell: 4.7297 4.7297 5.6814 Å, 78.34 78.34 41.13°
Fractional positions:
Si 0.0192 0.0192 0.8947
Si 0.4808 0.4808 0.6053
Ta 0.7500 0.7500 0.7500
Tl 0.2500 0.2500 0.2500

Ta2TlSi after structural relaxation, computed with GGA-PBE.

Results
Space-group type   No. 12
Formation energy from raw total energies   0.38 eV per atom
Energy   -7.4966 eV/atom

Cell: 5.7065 5.3173 2.9732 Å, 79.59 79.38 119.02°
Fractional positions:
Si 0.5000 0.5000 0.0000
Ta 0.0000 0.0000 0.0000
Ta 0.5000 0.0000 0.5000
Tl 0.0000 0.5000 0.5000

TaTlSi3 after structural relaxation, computed with GGA-PBE.

Results
Space-group type   No. 221
Formation energy from raw total energies   2.10 eV per atom
Energy above the lowest structure with this stoichiometry   1.618 eV/atom
Energy   -4.0012 eV/atom

Cell: 4.9609 4.9609 4.9609 Å, 90.00 90.00 90.00°
Fractional positions:
Tl 0.0000 0.0000 0.0000
Si 0.0000 0.5000 0.0000
Si 0.0000 0.0000 0.5000
Si 0.5000 0.0000 0.0000
Ta 0.5000 0.5000 0.5000

TaTlSi after structural relaxation, computed with GGA-PBE.

Results
Space-group type   No. 42
Formation energy from raw total energies   0.47 eV per atom
Energy above the lowest structure with this stoichiometry   0.202 eV/atom
Energy   -6.0766 eV/atom

Cell: 7.5287 7.4068 2.9603 Å, 80.89 76.26 22.85°
Fractional positions:
Si 0.9783 0.9783 0.0217
Ta 0.3503 0.3503 0.6497
Tl 0.6714 0.6714 0.3286

Ta2TlSi after structural relaxation, computed with GGA-PBE.

Results
Space-group type   No. 99
Formation energy from raw total energies   0.40 eV per atom
Energy   -7.4744 eV/atom

Cell: 2.8501 2.8501 10.0666 Å, 90.00 90.00 90.00°
Fractional positions:
Si 0.5000 0.5000 0.7971
Ta 0.0000 0.0000 0.9938
Ta 0.5000 0.5000 0.2213
Tl 0.0000 0.0000 0.4878

Ta2TlSi after structural relaxation, computed with GGA-PBE.

Results
Space-group type   No. 160
Formation energy from raw total energies   0.40 eV per atom
Energy   -7.4747 eV/atom

Cell: 9.8508 9.8508 9.8508 Å, 17.75 17.75 17.75°
Fractional positions:
Si 0.7425 0.7425 0.7425
Ta 0.0054 0.0054 0.0054
Ta 0.2544 0.2544 0.2544
Tl 0.4977 0.4977 0.4977

TaTlSi2 after structural relaxation, computed with GGA-PBE.

Results
Space-group type   No. 99
Formation energy from raw total energies   0.41 eV per atom
Energy above the lowest structure with this stoichiometry   0.253 eV/atom
Energy   -5.8607 eV/atom

Cell: 3.0216 3.0216 8.6204 Å, 90.00 90.00 90.00°
Fractional positions:
Si 0.0000 0.0000 0.0855
Si 0.5000 0.5000 0.2437
Ta 0.0000 0.0000 0.4356
Tl 0.5000 0.5000 0.7353

For reference, magnetic moment by record: 0.0; 0.0; 0.0; 0.0; 0.0; 0.0; 0.0; 0.0; 0.0; 0.0; 0.0; 0.0 μB/f.u..